No. 1
# PBE-GGA KSmSBr, optimized geometry
data_KSmSBr
_cell_length_a 8.308
_cell_length_b 8.308
_cell_length_c 8.308
_cell_angle_alpha 28.50
_cell_angle_beta 28.50
_cell_angle_gamma 28.50
_symmetry_space_group_name_H-M 'P 1'
_symmetry_Int_Tables_number 1
_symmetry_space_group_name_Hall 'P 1'
loop_
_atom_site_label
_atom_site_type_symbol
_atom_site_fract_x
_atom_site_fract_y
_atom_site_fract_z
_atom_site_occupancy
K1 K 0.000 0.000 0.000 1
Sm1 Sm 0.811 0.811 0.811 1
S1 S 0.415 0.415 0.415 1
Br1 Br 0.227 0.227 0.227 1
# Space group: R3m (160)
# Spin magnetization (μB per cell): 0.00



No. 2
# PBE-GGA KSrSBr, optimized geometry
data_KSrSBr
_cell_length_a 8.405
_cell_length_b 8.405
_cell_length_c 8.405
_cell_angle_alpha 29.98
_cell_angle_beta 29.98
_cell_angle_gamma 29.98
_symmetry_space_group_name_H-M 'P 1'
_symmetry_Int_Tables_number 1
_symmetry_space_group_name_Hall 'P 1'
loop_
_atom_site_label
_atom_site_type_symbol
_atom_site_fract_x
_atom_site_fract_y
_atom_site_fract_z
_atom_site_occupancy
K1 K 0.000 0.000 0.000 1
Sr1 Sr 0.810 0.810 0.810 1
S1 S 0.415 0.415 0.415 1
Br1 Br 0.569 0.569 0.569 1
# Space group: R3m (160)
# Spin magnetization (μB per cell): 0.00



No. 3
# PBE-GGA KTeSBr2, optimized geometry
data_KTeSBr2
_cell_length_a 5.866
_cell_length_b 5.866
_cell_length_c 5.058
_cell_angle_alpha 90.00
_cell_angle_beta 90.00
_cell_angle_gamma 90.00
_symmetry_space_group_name_H-M 'P 1'
_symmetry_Int_Tables_number 1
_symmetry_space_group_name_Hall 'P 1'
loop_
_atom_site_label
_atom_site_type_symbol
_atom_site_fract_x
_atom_site_fract_y
_atom_site_fract_z
_atom_site_occupancy
K1 K 0.000 0.000 0.000 1
Te1 Te 0.500 0.500 0.500 1
S1 S 0.500 0.500 0.000 1
Br1 Br 0.000 0.500 0.500 1
Br2 Br 0.500 0.000 0.500 1
# Space group: P4/mmm (123)
# Spin magnetization (μB per cell): 0.00



No. 4
# PBE-GGA KTeS2Br, optimized geometry
data_KTeS2Br
_cell_length_a 5.146
_cell_length_b 5.146
_cell_length_c 5.815
_cell_angle_alpha 90.00
_cell_angle_beta 90.00
_cell_angle_gamma 90.00
_symmetry_space_group_name_H-M 'P 1'
_symmetry_Int_Tables_number 1
_symmetry_space_group_name_Hall 'P 1'
loop_
_atom_site_label
_atom_site_type_symbol
_atom_site_fract_x
_atom_site_fract_y
_atom_site_fract_z
_atom_site_occupancy
K1 K 0.000 0.000 0.000 1
Te1 Te 0.500 0.500 0.500 1
S1 S 0.000 0.500 0.500 1
S2 S 0.500 0.000 0.500 1
Br1 Br 0.500 0.500 0.000 1
# Space group: P4/mmm (123)
# Spin magnetization (μB per cell): 0.00



Number 1: mass density 4.34 g/cm3, raw formation energy -1.570 eV per atom, total energy -4.474 eV/atom. Number 2: mass density 3.02 g/cm3, raw formation energy -1.785 eV per atom, total energy -3.930 eV/atom. Number 3: mass density 3.42 g/cm3, raw formation energy -0.579 eV per atom, total energy -2.921 eV/atom. Number 4: mass density 3.35 g/cm3, raw formation energy -0.385 eV per atom, total energy -3.218 eV/atom.